Below is CsCrTeO4 after structural relaxation, with properties calculated at the PBE with a Hubbard U level.

Results
Calculated volume: 275.8 Å³ per cell
DFT total energy: -81.4 eV/cell

Cell lengths 6.006, 5.807, 9.075 Å; angles 90.00, 119.39, 90.00 degrees
Site moments in Bohr magnetons follow the coordinates.
Fractional positions:
O: 0.514 0.750 0.244  -0.09
O: 0.971 0.495 0.635  -0.03
O: 0.495 0.750 0.522  -0.03
O: 0.029 0.995 0.365  -0.03
O: 0.486 0.250 0.756  -0.09
O: 0.971 0.005 0.635  -0.03
O: 0.505 0.250 0.478  -0.03
O: 0.029 0.505 0.365  -0.03
Te: 0.807 0.250 0.696  0.03
Te: 0.193 0.750 0.304  0.03
Cs: 0.532 0.250 0.148  0.00
Cs: 0.468 0.750 0.852  0.00
Cr: 0.220 0.250 0.534  3.01
Cr: 0.780 0.750 0.466  3.01